Entry 1:
Below is a relaxed SrHoPdPt crystal, with properties calculated at the PBE level.

The structure in POSCAR format:
```
SrHoPdPt
1.0
5.050 0.000 0.000
2.525 4.373 0.000
2.525 1.458 4.123
Ho Pt Sr Pd
1 1 1 1
Cartesian
0.000 0.000 0.000
7.575 4.373 3.092
5.050 2.916 2.062
2.525 1.458 1.031
```

Computed properties:
**Formation enthalpy at 0 K**: -0.8029 eV per atom



Entry 2:
Below is a relaxed TbHoPdPt crystal, with properties calculated at the PBE level.

The structure in POSCAR format:
```
TbHoPdPt
1.0
-1.635 3.083 3.513
-1.021 -1.724 4.528
2.926 1.180 3.816
Pt Tb Pd Ho
1 1 1 1
Cartesian
0.203 1.904 8.892
0.000 0.000 0.000
0.068 0.635 2.964
0.135 1.270 5.928
```

Computed properties:
**Offset from the most stable computed form**: 0.172 eV per formula unit
**Formation enthalpy at 0 K**: -1.0661 eV per atom



Among the records above, which one has the lowest formation enthalpy at 0 K? TbHoPdPt